1.
LiSiPt | PBE | relaxed

a = 4.1707 Å, b = 4.1707 Å, c = 2.8558 Å
α = 90.00°, β = 90.00°, γ = 120.00°
Space group P-6m2 (No. 187)
One atom of each set of equivalent atoms:
Li (0.0000, 0.0000, 0.0000)
Si (0.3333, 0.6667, 0.5000)
Pt (0.6667, 0.3333, 0.5000)

The calculation puts the formation energy (no corrections) at -645 meV per atom.



2.
LiSi3Pt | PBE | relaxed

a = 4.7850 Å, b = 4.7850 Å, c = 4.7850 Å
α = 90.00°, β = 90.00°, γ = 90.00°
Space group Pm-3m (No. 221)
One atom of each set of equivalent atoms:
Li (0.0000, 0.0000, 0.0000)
Si (0.0000, 0.5000, 0.5000)
Pt (0.5000, 0.5000, 0.5000)

The calculation puts the formation energy (no corrections) at 492 meV per atom.